No. 1
MnAuCl: relaxed, PBE.

N(E_F)	1.12	states/eV per cell
uncorrected formation energy	-0.282	eV per atom
SG	P3m1 (156)
size of the total moment	4.818	μB per cell

The structure in CIF format:
```
data_MnAuCl
_chemical_formula_sum 'Mn1 Au1 Cl1'
_cell_length_a 3.492
_cell_length_b 3.492
_cell_length_c 6.291
_cell_angle_alpha 90.00
_cell_angle_beta 90.00
_cell_angle_gamma 120.00
_space_group_name_H-M_alt 'P 1'
_space_group_IT_number 1
_space_group_name_Hall 'P 1'
loop_
_atom_site_label
_atom_site_type_symbol
_atom_site_fract_x
_atom_site_fract_y
_atom_site_fract_z
_atom_site_occupancy
Cl1 Cl 0.333 0.667 0.414 1
Mn1 Mn 0.667 0.333 0.656 1
Au1 Au 0.000 0.000 0.930 1
```

No. 2
MnAu3Cl: relaxed, PBE.

N(E_F)	2.25	states/eV per cell
uncorrected formation energy	1.089	eV per atom
SG	Pm-3m (221)
size of the total moment	4.760	μB per cell

The structure in CIF format:
```
data_MnAu3Cl
_chemical_formula_sum 'Mn1 Au3 Cl1'
_cell_length_a 4.966
_cell_length_b 4.966
_cell_length_c 4.966
_cell_angle_alpha 90.00
_cell_angle_beta 90.00
_cell_angle_gamma 90.00
_space_group_name_H-M_alt 'P 1'
_space_group_IT_number 1
_space_group_name_Hall 'P 1'
loop_
_atom_site_label
_atom_site_type_symbol
_atom_site_fract_x
_atom_site_fract_y
_atom_site_fract_z
_atom_site_occupancy
Au1 Au 0.500 0.000 0.000 1
Au2 Au 0.000 0.000 0.500 1
Au3 Au 0.000 0.500 0.000 1
Mn1 Mn 0.500 0.500 0.500 1
Cl1 Cl 0.000 0.000 0.000 1
```

No. 3
MnAu3Cl: relaxed, PBE.

N(E_F)	7.81	states/eV per cell
uncorrected formation energy	1.077	eV per atom
SG	Pm-3m (221)
size of the total moment	0.000	μB per cell

The structure in CIF format:
```
data_MnAu3Cl
_chemical_formula_sum 'Mn1 Au3 Cl1'
_cell_length_a 4.836
_cell_length_b 4.836
_cell_length_c 4.836
_cell_angle_alpha 90.00
_cell_angle_beta 90.00
_cell_angle_gamma 90.00
_space_group_name_H-M_alt 'P 1'
_space_group_IT_number 1
_space_group_name_Hall 'P 1'
loop_
_atom_site_label
_atom_site_type_symbol
_atom_site_fract_x
_atom_site_fract_y
_atom_site_fract_z
_atom_site_occupancy
Au1 Au 0.000 0.500 0.000 1
Au2 Au 0.500 0.000 0.000 1
Au3 Au 0.000 0.000 0.500 1
Cl1 Cl 0.500 0.500 0.500 1
Mn1 Mn 0.000 0.000 0.000 1
```

No. 4
Mn2AuCl: relaxed, PBE.

N(E_F)	2.35	states/eV per cell
uncorrected formation energy	-0.034	eV per atom
SG	Amm2 (38)
size of the total moment	8.262	μB per cell

The structure in CIF format:
```
data_Mn2AuCl
_chemical_formula_sum 'Mn2 Au1 Cl1'
_cell_length_a 6.607
_cell_length_b 6.607
_cell_length_c 4.290
_cell_angle_alpha 90.00
_cell_angle_beta 90.00
_cell_angle_gamma 27.20
_space_group_name_H-M_alt 'P 1'
_space_group_IT_number 1
_space_group_name_Hall 'P 1'
loop_
_atom_site_label
_atom_site_type_symbol
_atom_site_fract_x
_atom_site_fract_y
_atom_site_fract_z
_atom_site_occupancy
Au1 Au 0.459 0.459 0.500 1
Cl1 Cl 0.687 0.687 0.000 1
Mn1 Mn 0.338 0.338 0.000 1
Mn2 Mn 0.017 0.017 0.000 1
```

No. 5
Mn2AuCl: relaxed, PBE.

N(E_F)	1.61	states/eV per cell
uncorrected formation energy	0.191	eV per atom
SG	Immm (71)
size of the total moment	8.601	μB per cell

The structure in CIF format:
```
data_Mn2AuCl
_chemical_formula_sum 'Mn2 Au1 Cl1'
_cell_length_a 5.183
_cell_length_b 5.183
_cell_length_c 5.183
_cell_angle_alpha 143.08
_cell_angle_beta 113.76
_cell_angle_gamma 78.32
_space_group_name_H-M_alt 'P 1'
_space_group_IT_number 1
_space_group_name_Hall 'P 1'
loop_
_atom_site_label
_atom_site_type_symbol
_atom_site_fract_x
_atom_site_fract_y
_atom_site_fract_z
_atom_site_occupancy
Mn1 Mn 0.985 0.985 0.000 1
Mn2 Mn 0.515 0.515 0.000 1
Cl1 Cl 0.750 0.250 0.500 1
Au1 Au 0.250 0.750 0.500 1
```

No. 6
MnAu2Cl6: relaxed, PBE.

N(E_F)	6.36	states/eV per cell
uncorrected formation energy	-0.474	eV per atom
SG	C2/c (15)
size of the total moment	7.612	μB per cell

The structure in CIF format:
```
data_MnAu2Cl6
_chemical_formula_sum 'Mn2 Au4 Cl12'
_cell_length_a 10.858
_cell_length_b 7.377
_cell_length_c 7.377
_cell_angle_alpha 96.26
_cell_angle_beta 95.45
_cell_angle_gamma 95.45
_space_group_name_H-M_alt 'P 1'
_space_group_IT_number 1
_space_group_name_Hall 'P 1'
loop_
_atom_site_label
_atom_site_type_symbol
_atom_site_fract_x
_atom_site_fract_y
_atom_site_fract_z
_atom_site_occupancy
Cl1 Cl 0.393 0.241 0.916 1
Cl2 Cl 0.808 0.276 0.038 1
Cl3 Cl 0.895 0.581 0.637 1
Cl4 Cl 0.893 0.916 0.241 1
Cl5 Cl 0.192 0.724 0.962 1
Cl6 Cl 0.605 0.363 0.419 1
Cl7 Cl 0.107 0.084 0.759 1
Cl8 Cl 0.607 0.759 0.084 1
Cl9 Cl 0.692 0.962 0.724 1
Cl10 Cl 0.395 0.637 0.581 1
Cl11 Cl 0.308 0.038 0.276 1
Cl12 Cl 0.105 0.419 0.363 1
Au1 Au 0.651 0.655 0.587 1
Au2 Au 0.849 0.413 0.345 1
Au3 Au 0.151 0.587 0.655 1
Au4 Au 0.349 0.345 0.413 1
Mn1 Mn 0.250 0.033 0.967 1
Mn2 Mn 0.750 0.967 0.033 1
```

Q: Among the records above, which one has the highest size of the total moment?
A: number 5